# 1
Compound: Pm2TmTl2Cd2
Source: Alexandria
Functional: PBE
Structure: relaxed

Structure (POSCAR):
```
Pm2TmTl2Cd2
1.0
-0.0879 1.0359 -4.8882
-2.3557 -3.0696 -3.1628
-8.5700 4.0892 -1.5340
Tm Tl Cd Pm
1 2 2 2
Direct
0.0000 0.0000 0.0000 Tm
0.2595 0.2595 0.2214 Tl
0.7405 0.7405 0.7786 Tl
0.3873 0.3873 0.8381 Cd
0.6127 0.6127 0.1619 Cd
0.8742 0.8742 0.3772 Pm
0.1258 0.1258 0.6228 Pm
```

Formation energy, meV/atom: -143
Space-group type: R-3m, No. 166
DOS(E_F), states/eV/atom: 0.758
Crystal system: trigonal

# 2
Compound: PmTmTlCd
Source: Alexandria
Functional: PBE
Structure: relaxed

Structure (POSCAR):
```
PmTmTlCd
1.0
-1.1737 -4.0913 -3.2683
3.9190 -3.1625 -1.8541
0.4319 -5.0505 1.7616
Cd Tm Tl Pm
1 1 1 1
Direct
0.7500 0.7500 0.7500 Cd
0.0000 0.0000 0.0000 Tm
0.2500 0.2500 0.2500 Tl
0.5000 0.5000 0.5000 Pm
```

Formation energy, meV/atom: -331
Space-group type: F-43m, No. 216
DOS(E_F), states/eV/atom: 1.106
Crystal system: cubic